No. 1
Crystalline TaIrC2I at its relaxed geometry, computed with GGA-PBE.

Unit cell a=4.131 b=4.131 c=5.372 alpha=90.00 beta=90.00 gamma=90.00
Space group P4/mmm (No. 123)
Unique sites:
1 Ta 0.000 0.000 0.000 [1 per cell]
2 Ir 0.000 0.000 0.500 [1 per cell]
3 C 0.000 0.500 0.000 [2 per cell]
4 I 0.500 0.500 0.500 [1 per cell]

The value obtained for the uncorrected formation energy is 1.75 eV/atom.

No. 2
Crystalline Te2IrCI at its relaxed geometry, computed with GGA-PBE.

Unit cell a=5.181 b=5.181 c=5.648 alpha=90.00 beta=90.00 gamma=90.00
Space group P4/mmm (No. 123)
Unique sites:
1 Te 0.000 0.500 0.000 [2 per cell]
2 Ir 0.000 0.000 0.000 [1 per cell]
3 C 0.500 0.500 0.500 [1 per cell]
4 I 0.000 0.000 0.500 [1 per cell]

The value obtained for the uncorrected formation energy is 1.79 eV/atom.

No. 3
Crystalline Te2IrCI at its relaxed geometry, computed with GGA-PBE.

Unit cell a=4.675 b=4.675 c=4.750 alpha=90.00 beta=90.00 gamma=90.00
Space group P4/mmm (No. 123)
Unique sites:
1 Te 0.000 0.500 0.000 [2 per cell]
2 Ir 0.000 0.000 0.500 [1 per cell]
3 C 0.500 0.500 0.000 [1 per cell]
4 I 0.500 0.500 0.500 [1 per cell]

The value obtained for the uncorrected formation energy is 1.61 eV/atom.

No. 4
Crystalline TeIrC2I at its relaxed geometry, computed with GGA-PBE.

Unit cell a=4.021 b=4.021 c=8.289 alpha=90.00 beta=90.00 gamma=90.00
Space group P4/mmm (No. 123)
Unique sites:
1 Te 0.000 0.000 0.000 [1 per cell]
2 Ir 0.500 0.500 0.500 [1 per cell]
3 C 0.000 0.500 0.500 [2 per cell]
4 I 0.500 0.500 0.000 [1 per cell]

The value obtained for the uncorrected formation energy is 1.55 eV/atom.

No. 5
Crystalline TeIrCI2 at its relaxed geometry, computed with GGA-PBE.

Unit cell a=5.613 b=5.613 c=5.011 alpha=90.00 beta=90.00 gamma=90.00
Space group P4/mmm (No. 123)
Unique sites:
1 Te 0.000 0.000 0.000 [1 per cell]
2 Ir 0.000 0.000 0.500 [1 per cell]
3 C 0.500 0.500 0.000 [1 per cell]
4 I 0.000 0.500 0.500 [2 per cell]

The value obtained for the uncorrected formation energy is 1.75 eV/atom.

No. 6
Crystalline TeIrCI2 at its relaxed geometry, computed with GGA-PBE.

Unit cell a=4.828 b=4.828 c=4.676 alpha=90.00 beta=90.00 gamma=90.00
Space group P4/mmm (No. 123)
Unique sites:
1 Te 0.000 0.000 0.000 [1 per cell]
2 Ir 0.500 0.500 0.000 [1 per cell]
3 C 0.000 0.000 0.500 [1 per cell]
4 I 0.000 0.500 0.500 [2 per cell]

The value obtained for the uncorrected formation energy is 1.82 eV/atom.

No. 7
Crystalline TlIrCI2 at its relaxed geometry, computed with GGA-PBE.

Unit cell a=5.840 b=5.840 c=3.884 alpha=90.00 beta=90.00 gamma=90.00
Space group P4/mmm (No. 123)
Unique sites:
1 Tl 0.000 0.000 0.000 [1 per cell]
2 Ir 0.500 0.500 0.500 [1 per cell]
3 C 0.500 0.500 0.000 [1 per cell]
4 I 0.000 0.500 0.500 [2 per cell]

The value obtained for the uncorrected formation energy is 0.41 eV/atom.

No. 8
Crystalline KCI2 at its relaxed geometry, computed with GGA-PBE.

Unit cell a=7.652 b=7.652 c=10.856 alpha=90.00 beta=90.00 gamma=90.00
Space group I-42d (No. 122)
Unique sites:
1 K 0.000 0.000 0.000 [4 per cell]
2 C 0.000 0.000 0.500 [4 per cell]
3 I 0.002 0.250 0.625 [8 per cell]

The value obtained for the uncorrected formation energy is 0.60 eV/atom.

No. 9
Crystalline KCI3 at its relaxed geometry, computed with GGA-PBE.

Unit cell a=6.557 b=6.557 c=6.557 alpha=90.00 beta=90.00 gamma=90.00
Space group Pm-3m (No. 221)
Unique sites:
1 K 0.000 0.000 0.000 [1 per cell]
2 C 0.500 0.500 0.500 [1 per cell]
3 I 0.000 0.000 0.500 [3 per cell]

The value obtained for the uncorrected formation energy is 1.58 eV/atom.

No. 10
Crystalline KC3I at its relaxed geometry, computed with GGA-PBE.

Unit cell a=5.365 b=5.365 c=5.365 alpha=90.00 beta=90.00 gamma=90.00
Space group Pm-3m (No. 221)
Unique sites:
1 K 0.000 0.000 0.000 [1 per cell]
2 C 0.000 0.000 0.500 [3 per cell]
3 I 0.500 0.500 0.500 [1 per cell]

The value obtained for the uncorrected formation energy is 3.96 eV/atom.

No. 11
Crystalline KC3I at its relaxed geometry, computed with GGA-PBE.

Unit cell a=4.431 b=4.431 c=4.431 alpha=90.00 beta=90.00 gamma=90.00
Space group Pm-3m (No. 221)
Unique sites:
1 K 0.000 0.000 0.000 [1 per cell]
2 C 0.000 0.500 0.500 [3 per cell]
3 I 0.500 0.500 0.500 [1 per cell]

The value obtained for the uncorrected formation energy is 3.08 eV/atom.

No. 12
Crystalline KCI2 at its relaxed geometry, computed with GGA-PBE.

Unit cell a=8.032 b=8.032 c=8.032 alpha=90.00 beta=90.00 gamma=90.00
Space group Fm-3m (No. 225)
Unique sites:
1 K 0.000 0.000 0.000 [4 per cell]
2 C 0.000 0.000 0.500 [4 per cell]
3 I 0.250 0.250 0.250 [8 per cell]

The value obtained for the uncorrected formation energy is 1.16 eV/atom.